No. 1
DFT (PBE) results for an optimized crystal structure of Tb2NdY.

Lattice parameters (Å, degrees): 5.0890 5.0780 5.0780 90.00 90.00 90.00
Element x y z (fractional)
Tb  0.0000  0.0000  0.5000
Tb  0.0000  0.5000  0.0000
Y  0.5000  0.0000  0.0000
Nd  0.5000  0.5000  0.5000

Results
calculated total energy: -20.413 eV per formula unit
E above lowest polymorph: 14 meV/atom
formation energy: 20 meV per atom



No. 2
DFT (PBE) results for an optimized crystal structure of LiFeIr3.

Lattice parameters (Å, degrees): 2.6762 8.7113 7.1261 102.11 67.94 72.12
Last column: magnetic moment on the atom in μB.
Element x y z (fractional)
Ir  0.2768  0.2687  0.1186  -0.03
Ir  0.2287  0.0690  0.3672  0.02
Ir  0.2863  0.1487  0.7285  0.02
Ir  0.2783  0.6463  0.7403  0.10
Ir  0.2372  0.5715  0.3554  0.10
Ir  0.2384  0.9492  0.9771  -0.03
Fe  0.7666  0.7456  0.1537  2.56
Fe  0.7494  0.4722  0.9419  2.56
Li  0.2169  0.8666  0.5787  0.00
Li  0.2980  0.3512  0.5169  0.00

Results
calculated total energy: -36.931 eV per formula unit
E above lowest polymorph: 0 meV/atom
formation energy: 6 meV per atom



No. 3
DFT (PBE) results for an optimized crystal structure of NbTeOs3.

Lattice parameters (Å, degrees): 4.7902 4.7902 4.7902 90.00 90.00 90.00
Element x y z (fractional)
Nb  0.0000  0.0000  0.0000
Os  0.5000  0.0000  0.0000
Os  0.0000  0.5000  0.0000
Os  0.0000  0.0000  0.5000
Te  0.5000  0.5000  0.5000

Results
calculated total energy: -35.915 eV per formula unit
E above lowest polymorph: 0 meV/atom
energy relative to the elements, uncorrected: 2197 meV/atom



No. 4
DFT (PBE) results for an optimized crystal structure of DyHoZnGe.

Lattice parameters (Å, degrees): 5.0056 5.0056 5.0056 60.00 60.00 60.00
Element x y z (fractional)
Zn  0.7500  0.7500  0.7500
Ge  0.2500  0.2500  0.2500
Ho  0.0000  0.0000  0.0000
Dy  0.5000  0.5000  0.5000

Results
calculated total energy: -17.170 eV per formula unit
E above lowest polymorph: 98 meV/atom
formation energy: -525 meV per atom



No. 5
DFT (PBE) results for an optimized crystal structure of Sr2PSe4.

Lattice parameters (Å, degrees): 6.8507 6.8604 8.7102 90.00 108.52 90.00
Element x y z (fractional)
Se  0.1174  0.7500  0.8938
Se  0.5124  0.5017  0.7547
Se  0.5124  0.9983  0.7547
Se  0.1262  0.7500  0.4181
Se  0.4876  0.0017  0.2453
Se  0.4876  0.4983  0.2453
Se  0.8826  0.2500  0.1062
Se  0.8738  0.2500  0.5819
P  0.2608  0.7500  0.1898
P  0.7392  0.2500  0.8102
Sr  0.2437  0.2500  0.9313
Sr  0.7503  0.7500  0.5579
Sr  0.7563  0.7500  0.0687
Sr  0.2497  0.2500  0.4421

Results
calculated total energy: -30.507 eV per formula unit
energy relative to the elements, uncorrected: -1114 meV/atom



No. 6
DFT (PBE) results for an optimized crystal structure of AlFe2As.

Lattice parameters (Å, degrees): 2.8843 2.8843 5.7536 90.00 90.00 90.00
Element x y z (fractional)
As  0.5000  0.5000  0.7500
Fe  0.0000  0.0000  0.9901
Fe  0.0000  0.0000  0.5099
Al  0.5000  0.5000  0.2500

Results
calculated total energy: -25.959 eV per formula unit
E above lowest polymorph: 0 meV/atom
formation energy: -160 meV per atom



No. 7
DFT (PBE) results for an optimized crystal structure of K3Sb2Se4.

Lattice parameters (Å, degrees): 7.0868 9.7004 9.7004 82.26 86.37 86.37
Element x y z (fractional)
K  0.8997  0.9985  0.2454
K  0.3997  0.2454  0.9985
K  0.2500  0.6267  0.3733
K  0.6003  0.7546  0.0015
K  0.7500  0.3733  0.6267
K  0.1003  0.0015  0.7546
Se  0.5682  0.3853  0.2661
Se  0.4318  0.6147  0.7339
Se  0.0682  0.2661  0.3853
Se  0.6170  0.0366  0.7729
Se  0.9318  0.7339  0.6147
Se  0.1170  0.7729  0.0366
Se  0.3830  0.9634  0.2271
Se  0.8830  0.2271  0.9634
Sb  0.8992  0.4071  0.1317
Sb  0.6008  0.8683  0.5929
Sb  0.3992  0.1317  0.4071
Sb  0.1008  0.5929  0.8683

Results
calculated total energy: -31.745 eV per formula unit
energy relative to the elements, uncorrected: -697 meV/atom



No. 8
DFT (PBE) results for an optimized crystal structure of YRuW2.

Lattice parameters (Å, degrees): 9.4524 9.4524 9.4524 18.22 18.22 18.22
Element x y z (fractional)
Ru  0.7414  0.7414  0.7414
W  0.2566  0.2566  0.2566
W  0.0046  0.0046  0.0046
Y  0.4974  0.4974  0.4974

Results
calculated total energy: -39.617 eV per formula unit
E above lowest polymorph: 335 meV/atom
formation energy: 507 meV per atom



No. 9
DFT (PBE) results for an optimized crystal structure of La3CoBr2.

Lattice parameters (Å, degrees): 7.4001 8.0542 7.3262 81.04 59.67 72.05
Element x y z (fractional)
La  0.0636  0.7985  0.3727
La  0.4363  0.7985  0.6273
La  0.6952  0.8022  0.0000
La  0.9364  0.2015  0.6273
La  0.5637  0.2015  0.3727
La  0.3048  0.1978  0.0000
Co  0.3334  0.0000  0.3333
Co  0.6666  0.0000  0.6667
Br  0.5000  0.5000  0.0000
Br  0.8437  0.5000  0.3125
Br  0.0000  0.0000  0.0000
Br  0.1563  0.5000  0.6875

Results
calculated total energy: -31.255 eV per formula unit
energy relative to the elements, uncorrected: -1004 meV/atom



No. 10
DFT (PBE) results for an optimized crystal structure of ThCdGe2.

Lattice parameters (Å, degrees): 4.2223 4.2223 10.7314 101.35 101.35 90.00
Element x y z (fractional)
Ge  0.6515  0.6515  0.3030
Ge  0.0000  0.5000  0.0000
Ge  0.5000  0.0000  0.0000
Ge  0.3485  0.3485  0.6970
Th  0.1089  0.1089  0.2178
Th  0.8911  0.8911  0.7822
Cd  0.7500  0.2500  0.5000
Cd  0.2500  0.7500  0.5000

Results
calculated total energy: -19.406 eV per formula unit
E above lowest polymorph: 0 meV/atom
formation energy: -459 meV per atom



No. 11
DFT (PBE) results for an optimized crystal structure of Dy8BeTe4Se3.

Lattice parameters (Å, degrees): 8.3476 8.5388 8.3476 119.26 120.00 90.00
Element x y z (fractional)
Te  0.0000  0.0000  0.5000
Te  0.5000  0.0000  0.0000
Te  0.5000  0.0000  0.5000
Te  0.0000  0.0000  0.0000
Se  0.5000  0.5000  0.0000
Se  0.5000  0.5000  0.5000
Se  0.0000  0.5000  0.5000
Dy  0.2284  0.7147  0.9863
Dy  0.2284  0.7147  0.4568
Dy  0.2597  0.2792  0.5194
Dy  0.7403  0.7208  0.4806
Dy  0.2421  0.2853  0.0137
Dy  0.7716  0.2853  0.5432
Dy  0.7579  0.7147  0.9863
Dy  0.7716  0.2853  0.0137
Be  0.0000  0.5000  0.0000

Results
calculated total energy: -84.924 eV per formula unit
energy relative to the elements, uncorrected: -1335 meV/atom



No. 12
DFT (PBE) results for an optimized crystal structure of KTa2Re.

Lattice parameters (Å, degrees): 2.9041 2.9041 10.8112 90.00 90.00 112.98
Element x y z (fractional)
Ta  0.0000  0.0000  0.9467
Ta  0.0000  0.0000  0.5533
Re  0.5000  0.5000  0.7500
K  0.5000  0.5000  0.2500

Results
calculated total energy: -34.921 eV per formula unit
E above lowest polymorph: 0 meV/atom
formation energy: 583 meV per atom